1.
# K2ReBMo (PBE, optimized geometry)
# - energy of formation from the pure elements (eV per atom) = 2.314
# - DOS(E_F) (states/eV/f.u.) = 3.03
# - VASP energy (eV/f.u.) = -20.580
data_K2ReBMo
_chemical_formula_sum 'K2 Re1 B1 Mo1'
_symmetry_space_group_name_H-M 'P 4/m m m'
_symmetry_Int_Tables_number 123
_symmetry_space_group_name_Hall '-P 4 2'
_cell_length_a 6.603
_cell_length_b 6.603
_cell_length_c 4.050
_cell_angle_alpha 90.00
_cell_angle_beta 90.00
_cell_angle_gamma 90.00
loop_
_atom_site_label
_atom_site_type_symbol
_atom_site_fract_x
_atom_site_fract_y
_atom_site_fract_z
K1 K 0.000 0.500 0.000
Re1 Re 0.000 0.000 0.500
B1 B 0.500 0.500 0.500
Mo1 Mo 0.500 0.500 0.000



2.
# Li2TlRh2 (PBE, optimized geometry)
# - energy of formation from the pure elements (eV per atom) = 0.167
# - DOS(E_F) (states/eV/f.u.) = 1.92
# - excess energy over the best structure of this formula in the dataset (meV per atom) = 214
# - VASP energy (eV/f.u.) = -20.061
data_Li2TlRh2
_chemical_formula_sum 'Li4 Tl2 Rh4'
_symmetry_space_group_name_H-M 'I 4/m m m'
_symmetry_Int_Tables_number 139
_symmetry_space_group_name_Hall '-I 4 2'
_cell_length_a 3.440
_cell_length_b 3.440
_cell_length_c 13.497
_cell_angle_alpha 90.00
_cell_angle_beta 90.00
_cell_angle_gamma 90.00
loop_
_atom_site_label
_atom_site_type_symbol
_atom_site_fract_x
_atom_site_fract_y
_atom_site_fract_z
Li1 Li 0.000 0.500 0.250
Tl1 Tl 0.000 0.000 0.000
Rh1 Rh 0.000 0.000 0.394



3.
# AlCrTc2H (PBE, optimized geometry)
# - DOS(E_F) (states/eV/f.u.) = 4.77
# - VASP energy (eV/f.u.) = -37.560
data_AlCrTc2H
_chemical_formula_sum 'Al1 Cr1 Tc2 H1'
_symmetry_space_group_name_H-M 'P 4/m m m'
_symmetry_Int_Tables_number 123
_symmetry_space_group_name_Hall '-P 4 2'
_cell_length_a 4.089
_cell_length_b 4.089
_cell_length_c 3.468
_cell_angle_alpha 90.00
_cell_angle_beta 90.00
_cell_angle_gamma 90.00
loop_
_atom_site_label
_atom_site_type_symbol
_atom_site_fract_x
_atom_site_fract_y
_atom_site_fract_z
Al1 Al 0.000 0.000 0.000
Cr1 Cr 0.500 0.500 0.000
Tc1 Tc 0.000 0.500 0.500
H1 H 0.500 0.500 0.500



4.
# ScCoCuMo2 (PBE, optimized geometry)
# - energy of formation from the pure elements (eV per atom) = 1.177
# - DOS(E_F) (states/eV/f.u.) = 8.21
# - VASP energy (eV/f.u.) = -33.309
data_ScCoCuMo2
_chemical_formula_sum 'Sc1 Co1 Cu1 Mo2'
_symmetry_space_group_name_H-M 'P 4/m m m'
_symmetry_Int_Tables_number 123
_symmetry_space_group_name_Hall '-P 4 2'
_cell_length_a 4.560
_cell_length_b 4.560
_cell_length_c 4.337
_cell_angle_alpha 90.00
_cell_angle_beta 90.00
_cell_angle_gamma 90.00
loop_
_atom_site_label
_atom_site_type_symbol
_atom_site_fract_x
_atom_site_fract_y
_atom_site_fract_z
Sc1 Sc 0.000 0.000 0.000
Co1 Co 0.500 0.500 0.000
Cu1 Cu 0.500 0.500 0.500
Mo1 Mo 0.000 0.500 0.500



5.
# BaCuRu2 (PBE, optimized geometry)
# - energy of formation from the pure elements (eV per atom) = 0.841
# - DOS(E_F) (states/eV/f.u.) = 6.02
# - excess energy over the best structure of this formula in the dataset (meV per atom) = 638
# - VASP energy (eV/f.u.) = -21.206
data_BaCuRu2
_chemical_formula_sum 'Ba2 Cu2 Ru4'
_symmetry_space_group_name_H-M 'I m m m'
_symmetry_Int_Tables_number 71
_symmetry_space_group_name_Hall '-I 2 2'
_cell_length_a 2.996
_cell_length_b 4.872
_cell_length_c 10.223
_cell_angle_alpha 90.00
_cell_angle_beta 90.00
_cell_angle_gamma 90.00
loop_
_atom_site_label
_atom_site_type_symbol
_atom_site_fract_x
_atom_site_fract_y
_atom_site_fract_z
Ba1 Ba 0.000 0.000 0.000
Cu1 Cu 0.000 0.000 0.500
Ru1 Ru 0.000 0.500 0.216



6.
# CuPtBr2 (PBE, optimized geometry)
# - energy relative to the elements, uncorrected (eV/atom) = 0.0534
# - DOS(E_F) (states/eV/f.u.) = 4.80
# - excess energy over the best structure of this formula in the dataset (meV per atom) = 10
# - VASP energy (eV/f.u.) = -13.269
data_CuPtBr2
_chemical_formula_sum 'Cu2 Pt2 Br4'
_symmetry_space_group_name_H-M 'C 1 2/m 1'
_symmetry_Int_Tables_number 12
_symmetry_space_group_name_Hall '-C 2y'
_cell_length_a 16.595
_cell_length_b 3.741
_cell_length_c 3.481
_cell_angle_alpha 90.00
_cell_angle_beta 92.96
_cell_angle_gamma 90.00
loop_
_atom_site_label
_atom_site_type_symbol
_atom_site_fract_x
_atom_site_fract_y
_atom_site_fract_z
Cu1 Cu 0.000 0.000 0.000
Pt1 Pt 0.000 0.500 0.500
Br1 Br 0.144 0.500 0.536



7.
# AcHgTePb (PBE, optimized geometry)
# - energy relative to the elements, uncorrected (eV/atom) = -0.5939
# - DOS(E_F) (states/eV/f.u.) = 3.17
# - VASP energy (eV/f.u.) = -13.636
data_AcHgTePb
_chemical_formula_sum 'Ac4 Hg4 Te4 Pb4'
_symmetry_space_group_name_H-M 'F -4 3 m'
_symmetry_Int_Tables_number 216
_symmetry_space_group_name_Hall 'F -4 2 3'
_cell_length_a 7.946
_cell_length_b 7.946
_cell_length_c 7.946
_cell_angle_alpha 90.00
_cell_angle_beta 90.00
_cell_angle_gamma 90.00
loop_
_atom_site_label
_atom_site_type_symbol
_atom_site_fract_x
_atom_site_fract_y
_atom_site_fract_z
Ac1 Ac 0.000 0.000 0.000
Hg1 Hg 0.250 0.250 0.250
Te1 Te 0.250 0.250 0.750
Pb1 Pb 0.000 0.000 0.500



8.
# TePAu (PBE, optimized geometry)
# - energy relative to the elements, uncorrected (eV/atom) = 0.1684
# - DOS(E_F) (states/eV/f.u.) = 1.30
# - excess energy over the best structure of this formula in the dataset (meV per atom) = 162
# - VASP energy (eV/f.u.) = -11.324
data_TePAu
_chemical_formula_sum 'Te2 P2 Au2'
_symmetry_space_group_name_H-M 'I 4 m m'
_symmetry_Int_Tables_number 107
_symmetry_space_group_name_Hall 'I 4 -2'
_cell_length_a 3.555
_cell_length_b 3.555
_cell_length_c 11.986
_cell_angle_alpha 90.00
_cell_angle_beta 90.00
_cell_angle_gamma 90.00
loop_
_atom_site_label
_atom_site_type_symbol
_atom_site_fract_x
_atom_site_fract_y
_atom_site_fract_z
Te1 Te 0.000 0.000 0.000
P1 P 0.000 0.000 0.208
Au1 Au 0.000 0.000 0.732



9.
# BeInSb2 (PBE, optimized geometry)
# - energy relative to the elements, uncorrected (eV/atom) = 0.3218
# - DOS(E_F) (states/eV/f.u.) = 1.80
# - excess energy over the best structure of this formula in the dataset (meV per atom) = 229
# - VASP energy (eV/f.u.) = -13.422
data_BeInSb2
_chemical_formula_sum 'Be2 In2 Sb4'
_symmetry_space_group_name_H-M 'I m m m'
_symmetry_Int_Tables_number 71
_symmetry_space_group_name_Hall '-I 2 2'
_cell_length_a 3.855
_cell_length_b 5.744
_cell_length_c 8.780
_cell_angle_alpha 90.00
_cell_angle_beta 90.00
_cell_angle_gamma 90.00
loop_
_atom_site_label
_atom_site_type_symbol
_atom_site_fract_x
_atom_site_fract_y
_atom_site_fract_z
Be1 Be 0.000 0.000 0.000
In1 In 0.000 0.000 0.500
Sb1 Sb 0.000 0.500 0.313



10.
# Sm5Tm2Al4 (PBE, optimized geometry)
# - energy of formation from the pure elements (eV per atom) = 0.074
# - DOS(E_F) (states/eV/f.u.) = 13.03
# - VASP energy (eV/f.u.) = -46.691
data_Sm5Tm2Al4
_chemical_formula_sum 'Sm10 Tm4 Al8'
_symmetry_space_group_name_H-M 'I m m m'
_symmetry_Int_Tables_number 71
_symmetry_space_group_name_Hall '-I 2 2'
_cell_length_a 3.337
_cell_length_b 10.080
_cell_length_c 18.460
_cell_angle_alpha 90.00
_cell_angle_beta 90.00
_cell_angle_gamma 90.00
loop_
_atom_site_label
_atom_site_type_symbol
_atom_site_fract_x
_atom_site_fract_y
_atom_site_fract_z
Sm1 Sm 0.000 0.000 0.000
Sm2 Sm 0.000 0.166 0.320
Tm1 Tm 0.000 0.500 0.330
Al1 Al 0.000 0.204 0.500
Al2 Al 0.000 0.500 0.069



11.
# SeI (PBE, optimized geometry)
# - energy relative to the elements, uncorrected (eV/atom) = 0.0193
# - VASP energy (eV/f.u.) = -4.996
data_SeI
_chemical_formula_sum 'Se2 I2'
_symmetry_space_group_name_H-M 'P 1'
_symmetry_Int_Tables_number 1
_symmetry_space_group_name_Hall 'P 1'
_cell_length_a 4.478
_cell_length_b 6.353
_cell_length_c 6.691
_cell_angle_alpha 76.15
_cell_angle_beta 71.85
_cell_angle_gamma 79.91
loop_
_atom_site_label
_atom_site_type_symbol
_atom_site_fract_x
_atom_site_fract_y
_atom_site_fract_z
Se1 Se 0.000 0.000 0.000
Se2 Se 0.350 0.260 0.829
I1 I 0.315 0.652 0.177
I2 I 0.638 0.161 0.449



12.
# Sc2Co3Si5 (PBE, optimized geometry)
# - energy relative to the elements, uncorrected (eV/atom) = -0.7420
# - DOS(E_F) (states/eV/f.u.) = 4.38
# - excess energy over the best structure of this formula in the dataset (meV per atom) = 0
# - VASP energy (eV/f.u.) = -68.515
data_Sc2Co3Si5
_chemical_formula_sum 'Sc8 Co12 Si20'
_symmetry_space_group_name_H-M 'C 1 2/c 1'
_symmetry_Int_Tables_number 15
_symmetry_space_group_name_Hall '-C 2yc'
_cell_length_a 10.434
_cell_length_b 11.225
_cell_length_c 5.339
_cell_angle_alpha 90.00
_cell_angle_beta 118.01
_cell_angle_gamma 90.00
loop_
_atom_site_label
_atom_site_type_symbol
_atom_site_fract_x
_atom_site_fract_y
_atom_site_fract_z
Sc1 Sc 0.232 0.140 0.236
Co1 Co 0.000 0.498 0.750
Co2 Co 0.096 0.141 0.627
Si1 Si 0.000 0.014 0.250
Si2 Si 0.000 0.274 0.250
Si3 Si 0.000 0.292 0.750
Si4 Si 0.171 0.405 0.171



Question: Which value of VASP energy does entry 4 give?
Answer: -33.309 eV/f.u.